# SbOsSe2, relaxed, DFT GGA-PBE
# - formation energy (no corrections) (eV per formula unit) = 0.66
# - DOS at the Fermi energy (states/eV/f.u.) = 2.147
# - total magnetic moment (Bohr magnetons per cell) = 0.00
data_SbOsSe2
_cell_length_a 3.6446
_cell_length_b 3.6446
_cell_length_c 24.1408
_cell_angle_alpha 90.00
_cell_angle_beta 90.00
_cell_angle_gamma 120.00
_space_group_name_H-M_alt 'R 3 m'
_space_group_IT_number 160
_space_group_name_Hall 'R 3 -2"'
loop_
_atom_site_label
_atom_site_type_symbol
_atom_site_fract_x
_atom_site_fract_y
_atom_site_fract_z
Sb1 Sb 0.0000 0.0000 0.0000
Os1 Os 0.0000 0.0000 0.7457
Se1 Se 0.0000 0.0000 0.2581
Se2 Se 0.0000 0.0000 0.4623